Entry 1:
## Dy3Ho4Zn (GGA-PBE)

Data for an optimized crystal structure of Dy3Ho4Zn.

Properties
Energy of formation, eV per atom: -0.07
E, eV/atom: -4.2449
Size of the total moment, μB per formula unit: 0.00

abc: 3.534 3.534 18.615
angles: 90.00 90.00 90.00
Sites, in units of the cell vectors:
Dy 0.000 0.000 0.000
Dy 0.000 0.000 0.268
Dy 0.000 0.000 0.732
Ho 0.500 0.500 0.135
Ho 0.500 0.500 0.405
Ho 0.500 0.500 0.595
Ho 0.500 0.500 0.865
Zn 0.000 0.000 0.500

=====

Entry 2:
## Dy9Ho4Zn11 (GGA-PBE)

Data for an optimized crystal structure of Dy9Ho4Zn11.

Properties
Energy of formation, eV per atom: -0.25
E, eV/atom: -3.3188
Size of the total moment, μB per formula unit: 0.00

abc: 13.057 13.057 3.443
angles: 90.00 90.00 107.89
Sites, in units of the cell vectors:
Dy 0.000 0.000 0.000
Dy 0.123 0.649 0.000
Dy 0.295 0.477 0.000
Dy 0.351 0.877 0.000
Dy 0.477 0.295 0.000
Dy 0.523 0.705 0.000
Dy 0.649 0.123 0.000
Dy 0.705 0.523 0.000
Dy 0.877 0.351 0.000
Ho 0.081 0.255 0.000
Ho 0.255 0.081 0.000
Ho 0.745 0.919 0.000
Ho 0.919 0.745 0.000
Zn 0.083 0.447 0.500
Zn 0.130 0.870 0.500
Zn 0.281 0.281 0.500
Zn 0.325 0.675 0.500
Zn 0.447 0.083 0.500
Zn 0.500 0.500 0.500
Zn 0.553 0.917 0.500
Zn 0.675 0.325 0.500
Zn 0.719 0.719 0.500
Zn 0.870 0.130 0.500
Zn 0.917 0.553 0.500

=====

Entry 3:
## Dy2HoZn (GGA-PBE)

Data for an optimized crystal structure of Dy2HoZn.

Properties
Energy of formation, eV per atom: 0.05
E, eV/atom: -3.7155
Offset from the most stable computed form, meV/atom: 208
Size of the total moment, μB per formula unit: 0.00

abc: 7.515 7.515 7.515
angles: 90.00 90.00 90.00
Sites, in units of the cell vectors:
Dy 0.250 0.250 0.250
Dy 0.250 0.250 0.750
Dy 0.250 0.750 0.250
Dy 0.250 0.750 0.750
Dy 0.750 0.250 0.250
Dy 0.750 0.250 0.750
Dy 0.750 0.750 0.250
Dy 0.750 0.750 0.750
Ho 0.000 0.000 0.000
Ho 0.000 0.500 0.500
Ho 0.500 0.000 0.500
Ho 0.500 0.500 0.000
Zn 0.000 0.000 0.500
Zn 0.000 0.500 0.000
Zn 0.500 0.000 0.000
Zn 0.500 0.500 0.500

=====

Entry 4:
## Dy2HoZn (GGA-PBE)

Data for an optimized crystal structure of Dy2HoZn.

Properties
Energy of formation, eV per atom: -0.06
E, eV/atom: -3.8221
Offset from the most stable computed form, meV/atom: 102
Size of the total moment, μB per formula unit: 0.00

abc: 3.548 3.548 30.914
angles: 90.00 90.00 120.00
Sites, in units of the cell vectors:
Dy 0.000 0.000 0.240
Dy 0.000 0.000 0.760
Dy 0.333 0.667 0.427
Dy 0.333 0.667 0.906
Dy 0.667 0.333 0.094
Dy 0.667 0.333 0.573
Ho 0.000 0.000 0.000
Ho 0.333 0.667 0.667
Ho 0.667 0.333 0.333
Zn 0.000 0.000 0.500
Zn 0.333 0.667 0.167
Zn 0.667 0.333 0.833

=====

Entry 5:
## DyHoZn6 (GGA-PBE)

Data for an optimized crystal structure of DyHoZn6.

Properties
Energy of formation, eV per atom: -0.31
E, eV/atom: -2.4170
Size of the total moment, μB per formula unit: 0.00

abc: 4.402 6.554 10.348
angles: 90.00 90.00 90.00
Sites, in units of the cell vectors:
Dy 0.000 0.000 0.000
Dy 0.000 0.500 0.500
Ho 0.500 0.000 0.709
Ho 0.500 0.500 0.209
Zn 0.000 0.000 0.516
Zn 0.000 0.206 0.269
Zn 0.000 0.294 0.769
Zn 0.000 0.500 0.016
Zn 0.000 0.706 0.769
Zn 0.000 0.794 0.269
Zn 0.500 0.000 0.194
Zn 0.500 0.206 0.440
Zn 0.500 0.294 0.940
Zn 0.500 0.500 0.694
Zn 0.500 0.706 0.940
Zn 0.500 0.794 0.440

=====

Entry 6:
## DyHo2Zn2 (GGA-PBE)

Data for an optimized crystal structure of DyHo2Zn2.

Properties
Energy of formation, eV per atom: -0.20
E, eV/atom: -3.4610
Offset from the most stable computed form, meV/atom: 72
Size of the total moment, μB per formula unit: 0.00

abc: 8.029 8.029 6.121
angles: 90.00 90.00 141.63
Sites, in units of the cell vectors:
Dy 0.082 0.918 0.500
Dy 0.918 0.082 0.000
Ho 0.300 0.700 0.752
Ho 0.457 0.543 0.343
Ho 0.543 0.457 0.843
Ho 0.700 0.300 0.252
Zn 0.122 0.878 0.011
Zn 0.275 0.725 0.244
Zn 0.725 0.275 0.744
Zn 0.878 0.122 0.511

=====

Entry 7:
## Dy6Ho2Zn (GGA-PBE)

Data for an optimized crystal structure of Dy6Ho2Zn.

Properties
Energy of formation, eV per atom: 0.02
E, eV/atom: -4.2052
Size of the total moment, μB per formula unit: 0.00

abc: 9.959 10.050 5.315
angles: 90.00 90.00 90.00
Sites, in units of the cell vectors:
Dy 0.036 0.186 0.000
Dy 0.125 0.618 0.500
Dy 0.185 0.951 0.500
Dy 0.315 0.451 0.000
Dy 0.375 0.118 0.000
Dy 0.464 0.686 0.500
Dy 0.536 0.314 0.500
Dy 0.625 0.882 0.000
Dy 0.685 0.549 0.000
Dy 0.815 0.049 0.500
Dy 0.875 0.382 0.500
Dy 0.964 0.814 0.000
Ho 0.210 0.277 0.500
Ho 0.290 0.777 0.000
Ho 0.710 0.223 0.000
Ho 0.790 0.723 0.500
Zn 0.000 0.500 0.000
Zn 0.500 0.000 0.500

=====

Entry 8:
## DyHoZn (GGA-PBE)

Data for an optimized crystal structure of DyHoZn.

Properties
Energy of formation, eV per atom: -0.05
E, eV/atom: -3.5374
Offset from the most stable computed form, meV/atom: 160
Size of the total moment, μB per formula unit: 0.00

abc: 4.979 4.979 3.619
angles: 90.00 90.00 120.00
Sites, in units of the cell vectors:
Dy 0.000 0.000 0.000
Ho 0.333 0.667 0.538
Zn 0.667 0.333 0.281

=====

Entry 9:
## Dy2HoZn (GGA-PBE)

Data for an optimized crystal structure of Dy2HoZn.

Properties
Energy of formation, eV per atom: -0.16
E, eV/atom: -3.9239
Offset from the most stable computed form, meV/atom: 0
Size of the total moment, μB per formula unit: 0.00

abc: 3.556 3.556 8.563
angles: 90.00 90.00 90.00
Sites, in units of the cell vectors:
Dy 0.000 0.000 0.208
Dy 0.000 0.000 0.792
Ho 0.500 0.500 0.500
Zn 0.500 0.500 0.000

=====

Entry 10:
## Dy3Ho2Zn3 (GGA-PBE)

Data for an optimized crystal structure of Dy3Ho2Zn3.

Properties
Energy of formation, eV per atom: -0.25
E, eV/atom: -3.5977
Size of the total moment, μB per formula unit: 0.00

abc: 3.592 5.165 21.356
angles: 90.00 90.00 90.00
Sites, in units of the cell vectors:
Dy 0.000 0.000 0.000
Dy 0.000 0.500 0.118
Dy 0.000 0.500 0.882
Dy 0.500 0.000 0.382
Dy 0.500 0.000 0.618
Dy 0.500 0.500 0.500
Ho 0.000 0.000 0.229
Ho 0.000 0.000 0.771
Ho 0.500 0.500 0.271
Ho 0.500 0.500 0.729
Zn 0.000 0.000 0.500
Zn 0.000 0.500 0.384
Zn 0.000 0.500 0.616
Zn 0.500 0.000 0.116
Zn 0.500 0.000 0.884
Zn 0.500 0.500 0.000

=====

Entry 11:
## Dy5HoZn6 (GGA-PBE)

Data for an optimized crystal structure of Dy5HoZn6.

Properties
Energy of formation, eV per atom: -0.34
E, eV/atom: -3.2770
Size of the total moment, μB per formula unit: 0.00

abc: 7.957 7.957 7.161
angles: 90.00 90.00 143.13
Sites, in units of the cell vectors:
Dy 0.000 0.000 0.000
Dy 0.333 0.667 0.000
Dy 0.334 0.666 0.500
Dy 0.666 0.334 0.500
Dy 0.667 0.333 0.000
Ho 0.000 0.000 0.500
Zn 0.166 0.834 0.251
Zn 0.166 0.834 0.749
Zn 0.500 0.500 0.251
Zn 0.500 0.500 0.749
Zn 0.834 0.166 0.251
Zn 0.834 0.166 0.749

=====

Entry 12:
## Dy8Ho2Zn (GGA-PBE)

Data for an optimized crystal structure of Dy8Ho2Zn.

Properties
Energy of formation, eV per atom: -0.02
E, eV/atom: -4.3163
Size of the total moment, μB per formula unit: 0.00

abc: 9.851 9.851 6.371
angles: 93.42 93.42 32.30
Sites, in units of the cell vectors:
Dy 0.042 0.042 0.253
Dy 0.156 0.156 0.809
Dy 0.344 0.344 0.879
Dy 0.422 0.422 0.393
Dy 0.578 0.578 0.607
Dy 0.656 0.656 0.121
Dy 0.844 0.844 0.191
Dy 0.958 0.958 0.747
Ho 0.240 0.240 0.331
Ho 0.760 0.760 0.669
Zn 0.500 0.500 0.000